[1]
GGA-PBE AsPd2Au2, optimized geometry; ΔE to the lowest computed polymorph = 159 meV/atom; SG = No. 127; D(E_F) = 4.60 states/eV/f.u.; formation enthalpy at 0 K = 11.65 kJ/mol of atoms
1.0
-4.9545 -1.2373 4.8290
1.4188 -6.8768 -0.3063
2.5003 0.3970 2.6670
As Au Pd
2 4 4
direct
0.0000 0.0000 0.0000
0.5000 0.5000 0.0000
0.3534 0.8534 0.0000
0.8534 0.6466 0.0000
0.6466 0.1466 0.0000
0.1466 0.3534 0.0000
0.1514 0.6514 0.5000
0.6514 0.8486 0.5000
0.8486 0.3486 0.5000
0.3486 0.1514 0.5000

---

[2]
GGA-PBE LiSi, optimized geometry; SG = No. 62; D(E_F) = 0.29 states/eV/f.u.; VASP energy = -60.842 eV for the cell shown
1.0
4.4196 0.0000 0.0000
0.0000 5.7495 0.0000
0.0000 0.0000 9.3901
Li Si
8 8
direct
0.6450 0.2500 0.1856
0.1450 0.2500 0.3144
0.3550 0.7500 0.8144
0.8550 0.7500 0.6856
0.2541 0.2500 0.8258
0.7541 0.2500 0.6742
0.7459 0.7500 0.1742
0.2459 0.7500 0.3258
0.2434 0.5384 0.0598
0.7435 0.9616 0.4402
0.7565 0.0384 0.9402
0.2566 0.4616 0.5598
0.7565 0.4616 0.9402
0.2566 0.0384 0.5598
0.2434 0.9616 0.0598
0.7435 0.5384 0.4402

---

[3]
GGA-PBE Hg2PtSe, optimized geometry; ΔE to the lowest computed polymorph = 43 meV/atom; SG = No. 160; D(E_F) = 3.17 states/eV/f.u.
1.0
-7.6747 -0.1714 1.7033
-6.8644 -3.7676 0.7192
-6.1079 -2.5397 4.2516
Hg Pt Se
2 1 1
direct
0.9988 0.9988 0.9988
0.2385 0.2385 0.2385
0.4899 0.4899 0.4899
0.7727 0.7727 0.7727

---

[4]
GGA-PBE Ce7Pu2Rh2, optimized geometry; ΔE to the lowest computed polymorph = 231 meV/atom; SG = No. 12; D(E_F) = 22.14 states/eV/f.u.; formation enthalpy at 0 K = 6.99 kJ/mol of atoms
1.0
8.7093 0.3929 0.5669
-0.5106 6.3460 -0.4902
-0.5106 -2.6875 5.7697
Ce Pu Rh
7 2 2
direct
0.3158 0.9635 0.6052
0.6842 0.3948 0.0365
0.6842 0.0365 0.3948
0.3158 0.6052 0.9635
0.0000 0.0000 0.0000
0.6418 0.6595 0.6595
0.3582 0.3405 0.3405
0.5000 0.3108 0.6892
0.5000 0.6892 0.3108
0.9143 0.3287 0.3287
0.0857 0.6713 0.6713

---

[5]
GGA-PBE ZrTlSe2, optimized geometry; SG = No. 140; D(E_F) = 2.77 states/eV/f.u.; VASP energy = -42.121 eV for the cell shown
1.0
8.2460 0.0000 0.0000
0.0000 8.2460 0.0000
4.1230 4.1230 3.4411
Tl Se Zr
2 4 2
direct
0.7500 0.7500 0.5000
0.2500 0.2500 0.5000
0.8301 0.3301 0.0000
0.1699 0.6699 0.0000
0.3301 0.1699 0.0000
0.6699 0.8301 0.0000
0.7500 0.2500 0.5000
0.2500 0.7500 0.5000

---

[6]
GGA-PBE Ca2ZrBiN, optimized geometry; SG = No. 123; D(E_F) = 1.36 states/eV/f.u.; VASP energy = -25.072 eV for the cell shown
1.0
-2.4839 -3.6333 1.5964
2.8517 0.1121 4.6923
-3.1368 2.9511 1.8359
Ca Bi Zr N
2 1 1 1
direct
0.0000 0.0000 0.5000
0.5000 0.0000 0.0000
0.0000 0.5000 0.0000
0.5000 0.5000 0.5000
0.0000 0.0000 0.0000

---

[7]
GGA-PBE TcPt2Rh5, optimized geometry; ΔE to the lowest computed polymorph = 25 meV/atom; SG = No. 55; D(E_F) = 10.90 states/eV/f.u.; formation enthalpy at 0 K = -6.46 kJ/mol of atoms
1.0
3.8802 0.0000 0.0000
0.0000 5.4585 0.0000
0.0000 0.0000 10.9937
Tc Pt Rh
2 4 10
direct
0.0000 0.0000 0.5000
0.0000 0.5000 0.0000
0.5000 0.2510 0.6233
0.5000 0.7490 0.3767
0.5000 0.2490 0.1233
0.5000 0.7510 0.8767
0.0000 0.0000 0.0000
0.0000 0.5000 0.5000
0.0000 0.5021 0.7563
0.0000 0.4979 0.2437
0.0000 0.9979 0.2563
0.0000 0.0021 0.7437
0.5000 0.2550 0.8771
0.5000 0.7450 0.1229
0.5000 0.2450 0.3771
0.5000 0.7550 0.6229

---

[8]
GGA-PBE SmFe2I8, optimized geometry; SG = No. 12; D(E_F) = 4.45 states/eV/f.u.; VASP energy = -40.239 eV for the cell shown
1.0
7.7092 -0.6982 -0.4879
-2.8792 7.1854 -0.4879
0.2896 0.3890 10.6759
I Fe Sm
8 2 1
direct
0.2647 0.9428 0.8070
0.0572 0.7353 0.1930
0.2288 0.2288 0.5152
0.7712 0.7712 0.4848
0.9428 0.2647 0.8070
0.7353 0.0572 0.1930
0.3152 0.3152 0.1705
0.6848 0.6848 0.8295
0.0179 0.0179 0.3142
0.9821 0.9821 0.6858
0.0000 0.0000 0.0000